The following is a DFT calculation (PBE with a Hubbard U) of TlVF3 after structural relaxation.

Computed properties:
For the energy above the most stable polymorph in this dataset, the calculation gives 276 meV/atom. As for the space-group type: P1 (1).

a b c (Å): 7.619 4.369 7.284
angles (deg): 105.67 119.13 95.80
Each line ends with the local moment (μB).
Fractional coordinates of all 10 atoms:
Tl (0.964, 0.895, 0.130)  0.00
Tl (0.555, 0.479, 0.316)  0.00
F (0.661, 0.281, 0.974)  0.01
F (0.164, 0.563, 0.508)  0.01
F (0.116, 0.320, 0.976)  0.00
F (0.359, 0.810, 0.936)  0.01
F (0.859, 0.095, 0.470)  -0.01
F (0.409, 0.048, 0.471)  0.01
V (0.400, 0.981, 0.717)  1.44
V (0.124, 0.388, 0.728)  2.31